The following is a GGA-PBE calculation of a relaxed Cs3Pr3HfTe8 crystal, from Alexandria.

Lattice parameters (Å, degrees): 9.104 9.102 10.573 115.51 90.00 120.01
Fractional coordinates of all 15 atoms:
Cs 0.000 0.000 0.000
Cs 0.000 0.500 0.000
Cs 0.500 0.500 0.000
Pr 0.500 0.000 0.500
Pr 0.500 0.500 0.500
Pr 0.000 0.500 0.500
Hf 0.000 0.000 0.500
Te 0.267 0.535 0.302
Te 0.733 0.465 0.698
Te 0.785 0.569 0.315
Te 0.215 0.431 0.685
Te 0.785 0.030 0.315
Te 0.215 0.970 0.685
Te 0.246 0.030 0.315
Te 0.754 0.970 0.685

Calculated values
The space group is R-3m (166). The calculated total energy comes out at -71.2 eV for the cell shown.

---

The following is a GGA-PBE calculation of a relaxed CaLaTbEu crystal, from Alexandria.

Lattice parameters (Å, degrees): 5.979 5.979 5.979 60.00 60.00 60.00
Fractional coordinates of all 4 atoms:
Eu 0.000 0.000 0.000
Ca 0.250 0.250 0.250
Tb 0.750 0.750 0.750
La 0.500 0.500 0.500

Calculated values
The space group is F-43m (216). The formation energy is 0.1290 eV per atom.